(1)
Density functional theory data (meta-GGA SCAN) for a crystal of SiAs2Ru relaxed with PBEsol.

Geometry as POSCAR:
```
SiAs2Ru
1.0
2.918 0.000 0.000
0.000 3.686 0.000
0.000 0.000 6.496
Si Ru As
1 1 2
Cartesian
1.459 1.843 3.727
0.000 0.000 4.292
1.459 0.000 2.076
0.000 1.843 6.146
```

* E_form (uncorrected): -0.028 eV per atom
* space-group type: Pmm2
* V: 17.47 Å³/atom
* crystal system: orthorhombic
* E: -21.33 eV/atom


(2)
Density functional theory data (meta-GGA SCAN) for a crystal of CsLi3Zn relaxed with PBEsol.

Geometry as POSCAR:
```
CsLi3Zn
1.0
5.377 0.000 0.000
0.000 5.377 0.000
0.000 0.000 5.377
Li Zn Cs
3 1 1
Cartesian
0.000 0.000 2.689
2.689 0.000 0.000
0.000 2.689 0.000
0.000 0.000 0.000
2.689 2.689 2.689
```

* space-group type: Pm-3m
* V: 31.10 Å³/atom
* ΔE_f: 156 meV/atom
* energy above the most stable polymorph in this dataset: 0 meV/atom
* crystal system: cubic
* E: -11.54 eV/atom


(3)
Density functional theory data (meta-GGA SCAN) for a crystal of SrTeOsI2 relaxed with PBEsol.

Geometry as POSCAR:
```
SrTeOsI2
1.0
5.104 0.000 0.000
0.000 5.501 0.000
0.000 0.000 5.501
Te Os I Sr
1 1 2 1
Cartesian
2.552 0.000 0.000
0.000 0.000 0.000
0.000 2.750 0.000
0.000 0.000 2.750
2.552 2.750 2.750
```

* E_form (uncorrected): -0.162 eV per atom
* space-group type: P4/mmm
* V: 30.89 Å³/atom
* crystal system: tetragonal
* E: -41.14 eV/atom


(4)
Density functional theory data (meta-GGA SCAN) for a crystal of YHfOsS2 relaxed with PBEsol.

Geometry as POSCAR:
```
YHfOsS2
1.0
-1.846 4.103 1.768
-4.107 -0.805 -2.419
-2.128 -2.934 4.589
Os S Y Hf
1 2 1 1
Cartesian
-4.040 0.182 1.968
-2.053 -0.402 -1.210
-0.923 2.052 0.884
0.000 0.000 0.000
-1.064 -1.467 2.294
```

* E_form (uncorrected): 1.353 eV per atom
* space-group type: P4/mmm
* V: 27.33 Å³/atom
* crystal system: tetragonal
* E: -34.98 eV/atom


(5)
Density functional theory data (meta-GGA SCAN) for a crystal of In2FeHg relaxed with PBEsol.

Geometry as POSCAR:
```
In2FeHg
1.0
-1.446 -0.880 2.729
4.209 0.836 2.500
-3.134 4.327 -0.266
Hg In Fe
1 2 1
Cartesian
0.538 2.581 1.117
-2.290 1.723 1.232
0.000 0.000 0.000
1.382 -0.022 2.614
```

* space-group type: P2/m
* V: 19.68 Å³/atom
* ΔE_f: 307 meV/atom
* crystal system: monoclinic
* E: -37.96 eV/atom


(6)
Density functional theory data (meta-GGA SCAN) for a crystal of Zr2Ni2Sn relaxed with PBEsol.

Geometry as POSCAR:
```
Zr2Ni2Sn
1.0
-3.334 0.453 0.213
-1.039 -5.962 -3.585
-0.105 -3.611 6.035
Sn Zr Ni
2 4 4
Cartesian
-0.572 -4.787 1.225
0.000 0.000 0.000
-1.914 -3.203 3.540
-2.028 -2.356 -0.054
-2.564 -5.917 -0.877
-2.450 -6.765 2.717
-0.482 -5.399 3.937
-0.975 -7.474 0.632
-0.662 -4.174 -1.487
-0.169 -2.099 1.818
```

* space-group type: P4/mbm
* V: 16.68 Å³/atom
* ΔE_f: -658 meV/atom
* crystal system: tetragonal
* E: -26.59 eV/atom


(7)
Density functional theory data (meta-GGA SCAN) for a crystal of BaWN2F relaxed with PBEsol.

Geometry as POSCAR:
```
BaWN2F
1.0
-3.441 0.052 2.093
-1.885 -1.832 -3.052
0.962 -3.781 1.675
W Ba N F
1 1 2 1
Cartesian
0.000 0.000 0.000
-2.182 -2.780 0.358
-0.942 -0.916 -1.526
-1.721 0.026 1.047
0.481 -1.890 0.838
```

* E_form (uncorrected): -1.276 eV per atom
* space-group type: P4/mmm
* V: 13.78 Å³/atom
* energy above the most stable polymorph in this dataset: 0 meV/atom
* crystal system: tetragonal
* E: -27.55 eV/atom


(8)
Density functional theory data (meta-GGA SCAN) for a crystal of Ca2GePt2 relaxed with PBEsol.

Geometry as POSCAR:
```
Ca2GePt2
1.0
5.542 -0.001 -0.004
2.727 4.825 -0.004
1.428 0.833 7.712
Ca Ge Pt
4 2 4
Cartesian
3.437 2.860 5.032
3.468 1.168 1.176
6.259 2.797 2.673
6.229 4.489 6.529
3.430 4.440 1.925
6.267 1.217 5.781
4.873 5.221 3.848
2.039 3.568 0.001
7.657 2.090 7.704
4.823 0.436 3.857
```

* space-group type: C2/c
* V: 20.63 Å³/atom
* ΔE_f: -1140 meV/atom
* crystal system: monoclinic
* E: -36.90 eV/atom